1.
La4CoAg | GGA-PBE | optimized geometry

```
La4CoAg
1.0
1.2511 -3.8788 4.8564
-3.2812 -5.3813 0.6856
2.8141 -5.5839 -1.0465
La Co Ag
4 1 1
Cartesian
0.9219 -7.5063 4.1224
1.7069 -8.3627 1.1577
-1.3545 -8.2609 2.0277
0.2935 -5.5582 1.6833
0.0000 0.0000 0.0000
0.5880 -11.1330 3.3716
```

Calculated values
relative energy among the computed polymorphs	857	meV per atom
space group	F-43m, No. 216
crystal system	cubic
E_form	415	kJ/mol of formula units

2.
Hf3GaRu4 | GGA-PBE | optimized geometry

```
Hf3GaRu4
1.0
3.2309 0.0000 0.0000
0.0000 4.4850 0.0000
0.0000 0.0000 8.9900
Ru Hf Ga
4 3 1
Cartesian
0.0000 0.0000 4.4950
0.0000 2.2425 6.7817
0.0000 0.0000 0.0000
0.0000 2.2425 2.2083
1.6154 0.0000 2.1440
1.6154 2.2425 4.4950
1.6154 0.0000 6.8460
1.6154 2.2425 0.0000
```

Calculated values
space group	Pmmm, No. 47
crystal system	orthorhombic
E_form	-562	kJ/mol of formula units

no.,D(E_F) (states/eV/f.u.),total DFT energy (no corrections) (eV/cell),theoretical density (Mg/m³)
1,10.65,-25.4,6.657
2,2.78,-75.8,12.868